Entry 1:
## Fe2TcIr (PBE)

Data for a relaxed Fe2TcIr crystal.

Output
calculated density = 12801 kg/m³
spin magnetization = 3.806 Bohr magnetons per cell
E_form = -0.0059 eV per atom
SG = Pm, No. 6

Cell lengths 2.681, 3.717, 5.231 Å; angles 90.00, 90.02, 90.00 degrees
Sites, in units of the cell vectors:
Fe  0.000  0.000  0.000
Fe  0.498  0.500  0.231
Tc  0.499  0.500  0.753
Ir  0.998  0.000  0.489

Entry 2:
## FeTcIr2 (PBE)

Data for a relaxed FeTcIr2 crystal.

Output
E above lowest polymorph = 119 meV/atom
calculated density = 16093 kg/m³
spin magnetization = 3.740 Bohr magnetons per cell
E_form = -0.0173 eV per atom
SG = Amm2, No. 38

Cell lengths 4.097, 2.710, 10.004 Å; angles 90.00, 90.00, 90.00 degrees
Sites, in units of the cell vectors:
Fe  0.000  0.000  0.000
Fe  0.000  0.500  0.500
Tc  0.500  0.000  0.866
Tc  0.500  0.500  0.366
Ir  0.000  0.000  0.258
Ir  0.000  0.500  0.758
Ir  0.500  0.000  0.599
Ir  0.500  0.500  0.099

Entry 3:
## Fe2TcIr (PBE)

Data for a relaxed Fe2TcIr crystal.

Output
calculated density = 11661 kg/m³
spin magnetization = 12.430 Bohr magnetons per cell
E_form = 0.5667 eV per atom
SG = I-42d, No. 122

Cell lengths 3.673, 3.673, 16.965 Å; angles 90.00, 90.00, 90.00 degrees
Sites, in units of the cell vectors:
Fe  0.248  0.250  0.125
Fe  0.250  0.748  0.375
Fe  0.250  0.752  0.875
Fe  0.252  0.250  0.625
Fe  0.748  0.750  0.625
Fe  0.750  0.248  0.875
Fe  0.750  0.252  0.375
Fe  0.752  0.750  0.125
Tc  0.000  0.000  0.500
Tc  0.000  0.500  0.750
Tc  0.500  0.000  0.250
Tc  0.500  0.500  0.000
Ir  0.000  0.000  0.000
Ir  0.000  0.500  0.250
Ir  0.500  0.000  0.750
Ir  0.500  0.500  0.500

Entry 4:
## Fe2TcIr2 (PBE)

Data for a relaxed Fe2TcIr2 crystal.

Output
E above lowest polymorph = 109 meV/atom
calculated density = 14692 kg/m³
spin magnetization = 0.000 Bohr magnetons per cell
E_form = 0.2307 eV per atom
SG = P4/mbm, No. 127

Cell lengths 7.116, 7.116, 2.652 Å; angles 90.00, 90.00, 90.00 degrees
Sites, in units of the cell vectors:
Fe  0.169  0.331  0.000
Fe  0.331  0.831  0.000
Fe  0.669  0.169  0.000
Fe  0.831  0.669  0.000
Tc  0.000  0.000  0.500
Tc  0.500  0.500  0.500
Ir  0.129  0.629  0.500
Ir  0.371  0.129  0.500
Ir  0.629  0.871  0.500
Ir  0.871  0.371  0.500

Entry 5:
## FeTcIr2 (PBE)

Data for a relaxed FeTcIr2 crystal.

Output
E above lowest polymorph = 374 meV/atom
calculated density = 15617 kg/m³
spin magnetization = 3.110 Bohr magnetons per cell
E_form = 0.2376 eV per atom
SG = Pmmm, No. 47

Cell lengths 2.773, 4.504, 4.583 Å; angles 90.00, 90.00, 90.00 degrees
Sites, in units of the cell vectors:
Fe  0.000  0.000  0.000
Tc  0.500  0.000  0.500
Ir  0.000  0.500  0.500
Ir  0.500  0.500  0.000

Entry 6:
## FeTcIr2 (PBE)

Data for a relaxed FeTcIr2 crystal.

Output
E above lowest polymorph = 276 meV/atom
calculated density = 15838 kg/m³
spin magnetization = 5.446 Bohr magnetons per cell
E_form = 0.1400 eV per atom
SG = Imm2, No. 44

Cell lengths 2.803, 4.385, 9.184 Å; angles 90.00, 90.00, 90.00 degrees
Sites, in units of the cell vectors:
Fe  0.000  0.000  0.000
Fe  0.500  0.500  0.500
Tc  0.000  0.500  0.280
Tc  0.500  0.000  0.780
Ir  0.000  0.000  0.504
Ir  0.000  0.500  0.724
Ir  0.500  0.000  0.224
Ir  0.500  0.500  0.004

Entry 7:
## Fe2TcIr (PBE)

Data for a relaxed Fe2TcIr crystal.

Output
calculated density = 12725 kg/m³
spin magnetization = 5.138 Bohr magnetons per cell
E_form = 0.0023 eV per atom
SG = P4mm, No. 99

Cell lengths 2.815, 2.815, 6.617 Å; angles 90.00, 90.00, 90.00 degrees
Sites, in units of the cell vectors:
Fe  0.000  0.000  0.000
Fe  0.500  0.500  0.214
Tc  0.500  0.500  0.754
Ir  0.000  0.000  0.468

Entry 8:
## Fe3TcIr4 (PBE)

Data for a relaxed Fe3TcIr4 crystal.

Output
calculated density = 15914 kg/m³
spin magnetization = 12.843 Bohr magnetons per cell
E_form = -0.0761 eV per atom
SG = Pmma, No. 51

Cell lengths 8.653, 5.416, 4.606 Å; angles 90.00, 90.00, 90.00 degrees
Sites, in units of the cell vectors:
Fe  0.000  0.000  0.000
Fe  0.250  0.000  0.337
Fe  0.250  0.500  0.336
Fe  0.500  0.000  0.000
Fe  0.750  0.000  0.663
Fe  0.750  0.500  0.664
Tc  0.000  0.500  0.000
Tc  0.500  0.500  0.000
Ir  0.000  0.250  0.500
Ir  0.000  0.750  0.500
Ir  0.250  0.244  0.846
Ir  0.250  0.756  0.846
Ir  0.500  0.250  0.500
Ir  0.500  0.750  0.500
Ir  0.750  0.244  0.154
Ir  0.750  0.756  0.154

Entry 9:
## Fe2TcIr (PBE)

Data for a relaxed Fe2TcIr crystal.

Output
calculated density = 12829 kg/m³
spin magnetization = 7.072 Bohr magnetons per cell
E_form = -0.0232 eV per atom
SG = I-4m2, No. 119

Cell lengths 3.700, 3.700, 7.602 Å; angles 90.00, 90.00, 90.00 degrees
Sites, in units of the cell vectors:
Fe  0.000  0.000  0.000
Fe  0.000  0.500  0.250
Fe  0.500  0.000  0.750
Fe  0.500  0.500  0.500
Tc  0.000  0.000  0.500
Tc  0.500  0.500  0.000
Ir  0.000  0.500  0.750
Ir  0.500  0.000  0.250

Entry 10:
## FeTcIr2 (PBE)

Data for a relaxed FeTcIr2 crystal.

Output
E above lowest polymorph = 599 meV/atom
calculated density = 15994 kg/m³
spin magnetization = 0.608 Bohr magnetons per cell
E_form = 0.4629 eV per atom
SG = Fm-3m, No. 225

Cell lengths 6.069, 6.069, 6.069 Å; angles 90.00, 90.00, 90.00 degrees
Sites, in units of the cell vectors:
Fe  0.000  0.000  0.000
Fe  0.000  0.500  0.500
Fe  0.500  0.000  0.500
Fe  0.500  0.500  0.000
Tc  0.000  0.000  0.500
Tc  0.000  0.500  0.000
Tc  0.500  0.000  0.000
Tc  0.500  0.500  0.500
Ir  0.250  0.250  0.250
Ir  0.250  0.250  0.750
Ir  0.250  0.750  0.250
Ir  0.250  0.750  0.750
Ir  0.750  0.250  0.250
Ir  0.750  0.250  0.750
Ir  0.750  0.750  0.250
Ir  0.750  0.750  0.750

Entry 11:
## Fe2TcIr (PBE)

Data for a relaxed Fe2TcIr crystal.

Output
calculated density = 12277 kg/m³
spin magnetization = 11.901 Bohr magnetons per cell
E_form = 0.1434 eV per atom
SG = Cmmm, No. 65

Cell lengths 2.877, 4.411, 8.568 Å; angles 90.00, 90.00, 90.00 degrees
Sites, in units of the cell vectors:
Fe  0.000  0.000  0.248
Fe  0.000  0.000  0.752
Fe  0.500  0.500  0.248
Fe  0.500  0.500  0.752
Tc  0.000  0.500  0.000
Tc  0.500  0.000  0.000
Ir  0.000  0.500  0.500
Ir  0.500  0.000  0.500

Entry 12:
## FeTcIr2 (PBE)

Data for a relaxed FeTcIr2 crystal.

Output
E above lowest polymorph = 0 meV/atom
calculated density = 16020 kg/m³
spin magnetization = 2.904 Bohr magnetons per cell
E_form = -0.1365 eV per atom
SG = P4/mmm, No. 123

Cell lengths 2.724, 2.724, 7.522 Å; angles 90.00, 90.00, 90.00 degrees
Sites, in units of the cell vectors:
Fe  0.000  0.000  0.000
Tc  0.000  0.000  0.500
Ir  0.500  0.500  0.246
Ir  0.500  0.500  0.754

Entry 13:
## Fe2TcIr (PBE)

Data for a relaxed Fe2TcIr crystal.

Output
calculated density = 13339 kg/m³
spin magnetization = 0.003 Bohr magnetons per cell
E_form = 0.0321 eV per atom
SG = I4/mmm, No. 139

Cell lengths 3.724, 3.724, 7.214 Å; angles 90.00, 90.00, 90.00 degrees
Sites, in units of the cell vectors:
Fe  0.000  0.500  0.250
Fe  0.000  0.500  0.750
Fe  0.500  0.000  0.250
Fe  0.500  0.000  0.750
Tc  0.000  0.000  0.000
Tc  0.500  0.500  0.500
Ir  0.000  0.000  0.500
Ir  0.500  0.500  0.000

Entry 14:
## FeTcIr2 (PBE)

Data for a relaxed FeTcIr2 crystal.

Output
E above lowest polymorph = 79 meV/atom
calculated density = 16140 kg/m³
spin magnetization = 4.026 Bohr magnetons per cell
E_form = -0.0579 eV per atom
SG = I-4m2, No. 119

Cell lengths 3.795, 3.795, 7.692 Å; angles 90.00, 90.00, 90.00 degrees
Sites, in units of the cell vectors:
Fe  0.000  0.000  0.000
Fe  0.500  0.500  0.500
Tc  0.000  0.500  0.250
Tc  0.500  0.000  0.750
Ir  0.000  0.000  0.500
Ir  0.000  0.500  0.750
Ir  0.500  0.000  0.250
Ir  0.500  0.500  0.000

Entry 15:
## Fe5Tc3Ir12 (PBE)

Data for a relaxed Fe5Tc3Ir12 crystal.

Output
calculated density = 13720 kg/m³
spin magnetization = 7.558 Bohr magnetons per cell
E_form = 0.7932 eV per atom
SG = Ia-3d, No. 230

Cell lengths 12.189, 12.189, 12.189 Å; angles 109.47, 109.47, 109.47 degrees
Sites, in units of the cell vectors:
Fe  0.000  0.000  0.000
Fe  0.000  0.000  0.500
Fe  0.000  0.500  0.000
Fe  0.000  0.500  0.500
Fe  0.125  0.750  0.875
Fe  0.125  0.875  0.250
Fe  0.250  0.125  0.875
Fe  0.250  0.625  0.375
Fe  0.375  0.250  0.625
Fe  0.375  0.625  0.750
Fe  0.500  0.000  0.000
Fe  0.500  0.000  0.500
Fe  0.500  0.500  0.000
Fe  0.500  0.500  0.500
Fe  0.625  0.375  0.250
Fe  0.625  0.750  0.375
Fe  0.750  0.375  0.625
Fe  0.750  0.875  0.125
Fe  0.875  0.125  0.750
Fe  0.875  0.250  0.125
Tc  0.125  0.250  0.375
Tc  0.125  0.375  0.750
Tc  0.250  0.375  0.125
Tc  0.250  0.875  0.625
Tc  0.375  0.125  0.250
Tc  0.375  0.750  0.125
Tc  0.625  0.250  0.875
Tc  0.625  0.875  0.750
Tc  0.750  0.125  0.375
Tc  0.750  0.625  0.875
Tc  0.875  0.625  0.250
Tc  0.875  0.750  0.625
Ir  0.055  0.226  0.135
Ir  0.055  0.329  0.921
Ir  0.079  0.635  0.409
Ir  0.079  0.945  0.671
Ir  0.091  0.726  0.671
Ir  0.091  0.865  0.421
Ir  0.135  0.055  0.226
Ir  0.135  0.579  0.909
Ir  0.171  0.226  0.591
Ir  0.171  0.445  0.579
Ir  0.226  0.135  0.055
Ir  0.226  0.591  0.171
Ir  0.274  0.329  0.909
Ir  0.274  0.445  0.365
Ir  0.329  0.909  0.274
Ir  0.329  0.921  0.055
Ir  0.365  0.274  0.445
Ir  0.365  0.591  0.921
Ir  0.409  0.079  0.635
Ir  0.409  0.829  0.774
Ir  0.421  0.091  0.865
Ir  0.421  0.829  0.555
Ir  0.445  0.365  0.274
Ir  0.445  0.579  0.171
Ir  0.555  0.421  0.829
Ir  0.555  0.635  0.726
Ir  0.579  0.171  0.445
Ir  0.579  0.909  0.135
Ir  0.591  0.171  0.226
Ir  0.591  0.921  0.365
Ir  0.635  0.409  0.079
Ir  0.635  0.726  0.555
Ir  0.671  0.079  0.945
Ir  0.671  0.091  0.726
Ir  0.726  0.555  0.635
Ir  0.726  0.671  0.091
Ir  0.774  0.409  0.829
Ir  0.774  0.865  0.945
Ir  0.829  0.555  0.421
Ir  0.829  0.774  0.409
Ir  0.865  0.421  0.091
Ir  0.865  0.945  0.774
Ir  0.909  0.135  0.579
Ir  0.909  0.274  0.329
Ir  0.921  0.055  0.329
Ir  0.921  0.365  0.591
Ir  0.945  0.671  0.079
Ir  0.945  0.774  0.865

Entry 16:
## FeTc4Ir (PBE)

Data for a relaxed FeTc4Ir crystal.

Output
calculated density = 11716 kg/m³
spin magnetization = 2.453 Bohr magnetons per cell
E_form = 0.3988 eV per atom
SG = F-43m, No. 216

Cell lengths 5.043, 5.043, 5.043 Å; angles 60.00, 60.00, 60.00 degrees
Sites, in units of the cell vectors:
Fe  0.000  0.000  0.000
Tc  0.375  0.375  0.375
Tc  0.375  0.375  0.876
Tc  0.375  0.876  0.375
Tc  0.876  0.375  0.375
Ir  0.750  0.750  0.750

Entry 17:
## FeTcIr2 (PBE)

Data for a relaxed FeTcIr2 crystal.

Output
E above lowest polymorph = 82 meV/atom
calculated density = 16044 kg/m³
spin magnetization = 4.663 Bohr magnetons per cell
E_form = -0.0547 eV per atom
SG = Cm, No. 8

Cell lengths 8.947, 2.714, 4.667 Å; angles 90.00, 100.51, 90.00 degrees
Sites, in units of the cell vectors:
Fe  0.000  0.000  0.000
Fe  0.500  0.500  0.000
Tc  0.248  0.000  0.738
Tc  0.748  0.500  0.738
Ir  0.247  0.500  0.228
Ir  0.498  0.000  0.506
Ir  0.747  0.000  0.228
Ir  0.998  0.500  0.506

Entry 18:
## Fe2TcIr (PBE)

Data for a relaxed Fe2TcIr crystal.

Output
calculated density = 12632 kg/m³
spin magnetization = 8.473 Bohr magnetons per cell
E_form = 0.0345 eV per atom
SG = C2/m, No. 12

Cell lengths 8.650, 2.670, 4.648 Å; angles 90.00, 100.13, 90.00 degrees
Sites, in units of the cell vectors:
Fe  0.248  0.000  0.253
Fe  0.252  0.500  0.747
Fe  0.748  0.500  0.253
Fe  0.752  0.000  0.747
Tc  0.000  0.000  0.500
Tc  0.500  0.500  0.500
Ir  0.000  0.500  0.000
Ir  0.500  0.000  0.000

Entry 19:
## FeTcIr2 (PBE)

Data for a relaxed FeTcIr2 crystal.

Output
E above lowest polymorph = 70 meV/atom
calculated density = 16058 kg/m³
spin magnetization = 4.630 Bohr magnetons per cell
E_form = -0.0666 eV per atom
SG = C2/m, No. 12

Cell lengths 8.992, 2.704, 4.652 Å; angles 90.00, 100.13, 90.00 degrees
Sites, in units of the cell vectors:
Fe  0.000  0.000  0.000
Fe  0.500  0.500  0.000
Tc  0.000  0.500  0.500
Tc  0.500  0.000  0.500
Ir  0.249  0.500  0.248
Ir  0.251  0.000  0.752
Ir  0.749  0.000  0.248
Ir  0.751  0.500  0.752

Entry 20:
## Fe2TcIr (PBE)

Data for a relaxed Fe2TcIr crystal.

Output
calculated density = 13355 kg/m³
spin magnetization = 0.002 Bohr magnetons per cell
E_form = 0.0162 eV per atom
SG = P4/mmm, No. 123

Cell lengths 3.722, 3.722, 3.608 Å; angles 90.00, 90.00, 90.00 degrees
Sites, in units of the cell vectors:
Fe  0.000  0.500  0.000
Fe  0.500  0.000  0.000
Tc  0.000  0.000  0.500
Ir  0.500  0.500  0.500

Entry 21:
## Fe2TcIr (PBE)

Data for a relaxed Fe2TcIr crystal.

Output
calculated density = 12470 kg/m³
spin magnetization = 13.749 Bohr magnetons per cell
E_form = 0.0726 eV per atom
SG = R3m, No. 160

Cell lengths 2.718, 2.718, 25.103 Å; angles 90.00, 90.00, 120.00 degrees
Sites, in units of the cell vectors:
Fe  0.000  0.000  0.000
Fe  0.000  0.000  0.257
Fe  0.333  0.667  0.667
Fe  0.333  0.667  0.924
Fe  0.667  0.333  0.333
Fe  0.667  0.333  0.590
Tc  0.000  0.000  0.506
Tc  0.333  0.667  0.173
Tc  0.667  0.333  0.840
Ir  0.000  0.000  0.751
Ir  0.333  0.667  0.418
Ir  0.667  0.333  0.085

Entry 22:
## FeTcIr2 (PBE)

Data for a relaxed FeTcIr2 crystal.

Output
E above lowest polymorph = 83 meV/atom
calculated density = 15952 kg/m³
spin magnetization = 6.794 Bohr magnetons per cell
E_form = -0.0536 eV per atom
SG = R-3m, No. 166

Cell lengths 2.732, 2.732, 26.009 Å; angles 90.00, 90.00, 120.00 degrees
Sites, in units of the cell vectors:
Fe  0.000  0.000  0.000
Fe  0.333  0.667  0.667
Fe  0.667  0.333  0.333
Tc  0.000  0.000  0.500
Tc  0.333  0.667  0.167
Tc  0.667  0.333  0.833
Ir  0.000  0.000  0.251
Ir  0.000  0.000  0.749
Ir  0.333  0.667  0.415
Ir  0.333  0.667  0.918
Ir  0.667  0.333  0.082
Ir  0.667  0.333  0.585

Entry 23:
## FeTcIr3 (PBE)

Data for a relaxed FeTcIr3 crystal.

Output
E above lowest polymorph = 1698 meV/atom
calculated density = 14126 kg/m³
spin magnetization = 1.282 Bohr magnetons per cell
E_form = 1.6063 eV per atom
SG = Pm-3m, No. 221

Cell lengths 4.412, 4.412, 4.412 Å; angles 90.00, 90.00, 90.00 degrees
Sites, in units of the cell vectors:
Fe  0.000  0.000  0.000
Tc  0.500  0.500  0.500
Ir  0.000  0.000  0.500
Ir  0.000  0.500  0.000
Ir  0.500  0.000  0.000

Entry 24:
## FeTcIr2 (PBE)

Data for a relaxed FeTcIr2 crystal.

Output
E above lowest polymorph = 412 meV/atom
calculated density = 15653 kg/m³
spin magnetization = 11.829 Bohr magnetons per cell
E_form = 0.2752 eV per atom
SG = F-43m, No. 216

Cell lengths 6.113, 6.113, 6.113 Å; angles 90.00, 90.00, 90.00 degrees
Sites, in units of the cell vectors:
Fe  0.000  0.000  0.000
Fe  0.000  0.500  0.500
Fe  0.500  0.000  0.500
Fe  0.500  0.500  0.000
Tc  0.250  0.250  0.750
Tc  0.250  0.750  0.250
Tc  0.750  0.250  0.250
Tc  0.750  0.750  0.750
Ir  0.000  0.000  0.500
Ir  0.000  0.500  0.000
Ir  0.250  0.250  0.250
Ir  0.250  0.750  0.750
Ir  0.500  0.000  0.000
Ir  0.500  0.500  0.500
Ir  0.750  0.250  0.750
Ir  0.750  0.750  0.250